[1]
Computed, not measured: crystalline ZrFe at its relaxed geometry at the PBE level of DFT.

Properties
Energy of formation = 199 meV/atom
Total energy = -8.31 eV/atom

a = 3.211 Å, b = 3.211 Å, c = 7.720 Å
α = 90.00°, β = 90.00°, γ = 120.00°
Element x y z (fractional)
Zr: 0.000 0.000 0.000
Zr: 0.000 0.000 0.500
Fe: 0.333 0.667 0.250
Fe: 0.667 0.333 0.750

[2]
Computed, not measured: crystalline ZrFe3 at its relaxed geometry at the PBE level of DFT.

Properties
Energy of formation = -28 meV/atom
Total energy = -8.51 eV/atom

a = 4.272 Å, b = 4.272 Å, c = 4.272 Å
α = 60.00°, β = 60.00°, γ = 60.00°
Element x y z (fractional)
Zr: 0.000 0.000 0.000
Fe: 0.250 0.250 0.250
Fe: 0.500 0.500 0.500
Fe: 0.750 0.750 0.750

- What is the energy of formation in the second record?
  -28 meV/atom